No. 1
DFT (GGA-PBE) results for crystalline LiMgAlSn at its relaxed geometry.

Output
The total energy is -2.96 eV per atom.

Lattice parameters (Å, degrees): 4.230 4.349 4.329 90.00 90.00 90.00
Sites, in units of the cell vectors:
Al1 0.500 0.000 0.500
Sn1 0.000 0.500 0.500
Mg1 0.000 0.000 0.000
Li1 0.500 0.500 0.000

---

No. 2
DFT (GGA-PBE) results for crystalline SrSnP2Se8 at its relaxed geometry.

Output
For the uncorrected formation energy, the calculation gives -0.39 eV per atom. The total energy is -4.09 eV per atom.

Lattice parameters (Å, degrees): 6.374 6.374 9.397 90.00 90.00 120.00
Sites, in units of the cell vectors:
Se1 0.674 0.993 0.303
Se2 0.319 0.326 0.303
Se3 0.667 0.333 0.013
Se4 0.333 0.667 0.987
Se5 0.681 0.674 0.697
Se6 0.007 0.681 0.303
Se7 0.326 0.007 0.697
Se8 0.993 0.319 0.697
P1 0.333 0.667 0.756
P2 0.667 0.333 0.244
Sn1 0.000 0.000 0.500
Sr1 0.000 0.000 0.000

---

No. 3
DFT (GGA-PBE) results for crystalline Be9Nb2Ru at its relaxed geometry.

Output
The total energy is -5.45 eV per atom.

Lattice parameters (Å, degrees): 4.480 4.480 7.457 72.52 72.52 60.00
Sites, in units of the cell vectors:
Ru1 0.000 0.000 0.000
Be1 0.920 0.419 0.242
Be2 0.419 0.920 0.242
Be3 0.500 0.500 0.500
Be4 0.581 0.581 0.758
Be5 0.335 0.335 0.996
Be6 0.581 0.080 0.758
Be7 0.419 0.419 0.242
Be8 0.665 0.665 0.004
Be9 0.080 0.581 0.758
Nb1 0.857 0.857 0.428
Nb2 0.143 0.143 0.572

---

No. 4
DFT (GGA-PBE) results for crystalline Ce3PaGe3 at its relaxed geometry.

Output
The total energy is -6.30 eV per atom.

Lattice parameters (Å, degrees): 6.363 6.363 8.859 89.55 89.55 104.84
Site moments in Bohr magnetons follow the coordinates.
Sites, in units of the cell vectors:
Ce1 0.172 0.828 0.500  0.42
Ce2 0.781 0.219 0.000  0.04
Ce3 0.219 0.781 0.000  0.04
Ce4 0.828 0.172 0.500  0.42
Ce5 0.540 0.540 0.293  0.50
Ce6 0.460 0.460 0.707  0.50
Ge1 0.933 0.933 0.230  0.00
Ge2 0.067 0.067 0.770  0.00
Ge3 0.492 0.023 0.259  -0.01
Ge4 0.508 0.977 0.741  -0.01
Ge5 0.023 0.492 0.259  -0.01
Ge6 0.977 0.508 0.741  -0.01
Pa1 0.708 0.708 0.947  0.17
Pa2 0.292 0.292 0.053  0.17

---

No. 5
DFT (GGA-PBE) results for crystalline SrTl2PbF6 at its relaxed geometry.

Output
For the uncorrected formation energy, the calculation gives -2.57 eV per atom. The total energy is -4.70 eV per atom.

Lattice parameters (Å, degrees): 6.574 6.773 9.446 90.00 90.07 90.00
Sites, in units of the cell vectors:
F1 0.102 0.465 0.748
F2 0.898 0.535 0.252
F3 0.192 0.201 0.447
F4 0.602 0.035 0.248
F5 0.304 0.695 0.449
F6 0.308 0.701 0.053
F7 0.808 0.799 0.553
F8 0.196 0.195 0.051
F9 0.692 0.299 0.947
F10 0.804 0.805 0.949
F11 0.696 0.305 0.551
F12 0.398 0.965 0.752
Sr1 0.500 0.000 0.000
Sr2 0.000 0.500 0.500
Tl1 0.509 0.536 0.749
Tl2 0.491 0.464 0.251
Tl3 0.991 0.036 0.751
Tl4 0.009 0.964 0.249
Pb1 0.500 0.000 0.500
Pb2 0.000 0.500 0.000

---

No. 6
DFT (GGA-PBE) results for crystalline B2C at its relaxed geometry.

Output
The total energy is -6.89 eV per atom.

Lattice parameters (Å, degrees): 2.448 4.139 8.437 90.00 90.00 90.00
Sites, in units of the cell vectors:
B1 0.500 0.588 0.775
B2 0.500 0.412 0.225
B3 0.000 0.911 0.409
B4 0.500 0.411 0.591
B5 0.000 0.089 0.591
B6 0.500 0.589 0.409
B7 0.000 0.912 0.775
B8 0.000 0.088 0.225
C1 0.000 0.856 0.069
C2 0.500 0.356 0.931
C3 0.000 0.144 0.931
C4 0.500 0.644 0.069

---

No. 7
DFT (GGA-PBE) results for crystalline Li4Tl at its relaxed geometry.

Output
The total energy is -2.20 eV per atom.

Lattice parameters (Å, degrees): 4.684 5.528 7.245 100.77 90.00 90.00
Sites, in units of the cell vectors:
Li1 0.000 0.206 0.395
Li2 0.499 0.094 0.705
Li3 0.500 0.294 0.105
Li4 0.500 0.706 0.895
Li5 0.000 0.794 0.605
Li6 0.999 0.406 0.795
Li7 0.501 0.906 0.295
Li8 0.001 0.594 0.205
Tl1 0.500 0.500 0.500
Tl2 0.000 0.000 0.000

---

No. 8
DFT (GGA-PBE) results for crystalline RbPdI3 at its relaxed geometry.

Output
For the uncorrected formation energy, the calculation gives -0.64 eV per atom. The total energy is -2.80 eV per atom.

Lattice parameters (Å, degrees): 8.424 6.191 7.436 90.00 89.92 90.00
Sites, in units of the cell vectors:
Rb1 0.696 0.466 0.701
Rb2 0.951 0.966 0.201
I1 0.705 0.476 0.201
I2 0.462 0.905 0.948
I3 0.462 0.904 0.454
I4 0.185 0.405 0.954
I5 0.185 0.404 0.447
I6 0.942 0.976 0.701
Pd1 0.298 0.127 0.701
Pd2 0.349 0.627 0.201

---

No. 9
DFT (GGA-PBE) results for crystalline MgBMo2 at its relaxed geometry.

Output
The total energy is -6.58 eV per atom.

Lattice parameters (Å, degrees): 3.673 3.673 9.439 78.78 78.78 90.00
Sites, in units of the cell vectors:
Mg1 0.000 0.000 0.000
Mg2 0.750 0.250 0.500
Mo1 0.153 0.625 0.250
Mo2 0.597 0.125 0.250
Mo3 0.875 0.847 0.750
Mo4 0.375 0.403 0.750
B1 0.250 0.750 0.500
B2 0.500 0.500 0.000

---

No. 10
DFT (GGA-PBE) results for crystalline YHoAgOs at its relaxed geometry.

Output
The total energy is -6.55 eV per atom.

Lattice parameters (Å, degrees): 4.945 4.945 4.945 60.00 60.00 60.00
Sites, in units of the cell vectors:
Os1 0.500 0.500 0.500
Y1 0.750 0.750 0.750
Ho1 0.250 0.250 0.250
Ag1 0.000 0.000 0.000

---

No. 11
DFT (GGA-PBE) results for crystalline Pa4Ni6Rh7 at its relaxed geometry.

Output
The total energy is -7.95 eV per atom.

Lattice parameters (Å, degrees): 7.045 7.045 7.045 109.47 109.47 109.47
Sites, in units of the cell vectors:
Rh1 0.250 0.500 0.750
Rh2 0.750 0.250 0.500
Rh3 0.500 0.250 0.750
Rh4 0.250 0.750 0.500
Rh5 0.500 0.750 0.250
Rh6 0.000 0.000 0.000
Rh7 0.750 0.500 0.250
Ni1 0.000 0.702 0.702
Ni2 0.298 0.000 0.298
Ni3 0.000 0.298 0.298
Ni4 0.702 0.000 0.702
Ni5 0.298 0.298 0.000
Ni6 0.702 0.702 0.000
Pa1 0.000 0.500 0.000
Pa2 0.000 0.000 0.500
Pa3 0.500 0.500 0.500
Pa4 0.500 0.000 0.000

---

No. 12
DFT (GGA-PBE) results for crystalline Tm5Co2Cu at its relaxed geometry.

Output
The total energy is -5.31 eV per atom.

Lattice parameters (Å, degrees): 7.358 7.358 8.283 116.37 116.37 90.00
Sites, in units of the cell vectors:
Cu1 0.750 0.750 0.500
Cu2 0.250 0.250 0.500
Tm1 0.500 0.500 0.000
Tm2 0.974 0.474 0.275
Tm3 0.801 0.974 0.275
Tm4 0.301 0.801 0.275
Tm5 0.526 0.699 0.725
Tm6 0.026 0.526 0.725
Tm7 0.199 0.026 0.725
Tm8 0.474 0.301 0.275
Tm9 0.000 0.000 0.000
Tm10 0.699 0.199 0.725
Co1 0.133 0.367 0.000
Co2 0.633 0.133 0.000
Co3 0.867 0.633 0.000
Co4 0.367 0.867 0.000

---

Number 1: size of the total moment 0.0 μB/f.u.. Number 2: size of the total moment 0.0 μB/f.u.. Number 3: size of the total moment 0.0 μB/f.u.. Number 4: size of the total moment 1.3 μB/f.u.. Number 5: size of the total moment 0.0 μB/f.u.. Number 6: size of the total moment 0.0 μB/f.u.. Number 7: size of the total moment 0.0 μB/f.u.. Number 8: size of the total moment 0.0 μB/f.u.. Number 9: size of the total moment 0.0 μB/f.u.. Number 10: size of the total moment 0.0 μB/f.u.. Number 11: size of the total moment 0.0 μB/f.u.. Number 12: size of the total moment 0.0 μB/f.u..